Entry 1:
HoMgIn2 | PBE | relaxed

Geometry as CIF:
```
data_HoMgIn2
_chemical_formula_sum 'Ho1 Mg1 In2'
_symmetry_space_group_name_H-M 'P 4/m m m'
_symmetry_Int_Tables_number 123
_symmetry_space_group_name_Hall '-P 4 2'
_cell_length_a 4.619
_cell_length_b 4.619
_cell_length_c 4.497
_cell_angle_alpha 90.00
_cell_angle_beta 90.00
_cell_angle_gamma 90.00
loop_
_atom_site_label
_atom_site_type_symbol
_atom_site_fract_x
_atom_site_fract_y
_atom_site_fract_z
Ho1 Ho 0.000 0.000 0.000
Mg1 Mg 0.500 0.500 0.000
In1 In 0.000 0.500 0.500
```

Summary:
ΔH_f (0 K)	-389	meV/atom
total magnetization	0.00	μB/f.u.
N(E_F)	2.17	states/eV/f.u.
electronic total energy	-3.301	eV per atom
calculated volume	95.95	Å³ per cell

=====

Entry 2:
HoMg11In | PBE | relaxed

Geometry as CIF:
```
data_HoMg11In
_chemical_formula_sum 'Ho2 Mg22 In2'
_symmetry_space_group_name_H-M 'C 1 2/m 1'
_symmetry_Int_Tables_number 12
_cell_length_a 5.907
_cell_length_b 14.455
_cell_length_c 7.737
_cell_angle_alpha 90.00
_cell_angle_beta 111.49
_cell_angle_gamma 90.00
loop_
_symmetry_equiv_pos_as_xyz
'x,y,z'
'-x,-y,-z'
'-x,y,-z'
'x,-y,z'
'x+1/2,y+1/2,z'
'-x+1/2,-y+1/2,-z'
'-x+1/2,y+1/2,-z'
'x+1/2,-y+1/2,z'
loop_
_atom_site_label
_atom_site_type_symbol
_atom_site_fract_x
_atom_site_fract_y
_atom_site_fract_z
Ho1 Ho 0.000 0.000 0.000
Mg1 Mg 0.000 0.000 0.500
Mg2 Mg 0.109 0.395 0.210
Mg3 Mg 0.170 0.175 0.350
Mg4 Mg 0.250 0.250 0.000
In1 In 0.000 0.500 0.500
```

Summary:
ΔH_f (0 K)	-38	meV/atom
total magnetization	0.00	μB/f.u.
N(E_F)	4.92	states/eV/f.u.
electronic total energy	-1.950	eV per atom
calculated volume	614.72	Å³ per cell

=====

Entry 3:
HoMg3In | PBE | relaxed

Geometry as CIF:
```
data_HoMg3In
_chemical_formula_sum 'Ho2 Mg6 In2'
_symmetry_space_group_name_H-M 'P -1'
_symmetry_Int_Tables_number 2
_cell_length_a 4.960
_cell_length_b 5.761
_cell_length_c 9.746
_cell_angle_alpha 80.51
_cell_angle_beta 80.45
_cell_angle_gamma 69.56
loop_
_symmetry_equiv_pos_as_xyz
'x,y,z'
'-x,-y,-z'
loop_
_atom_site_label
_atom_site_type_symbol
_atom_site_fract_x
_atom_site_fract_y
_atom_site_fract_z
Ho1 Ho 0.099 0.045 0.273
Mg1 Mg 0.000 0.500 0.500
Mg2 Mg 0.107 0.356 0.862
Mg3 Mg 0.364 0.811 0.971
Mg4 Mg 0.500 0.000 0.500
In1 In 0.453 0.453 0.276
```

Summary:
ΔH_f (0 K)	-56	meV/atom
total magnetization	0.00	μB/f.u.
N(E_F)	3.32	states/eV/f.u.
offset from the most stable computed form	0.29	kcal/mol of atoms
electronic total energy	-2.476	eV per atom
calculated volume	255.64	Å³ per cell

=====

Entry 4:
Ho12MgIn6 | PBE | relaxed

Geometry as CIF:
```
data_Ho12MgIn6
_chemical_formula_sum 'Ho36 Mg3 In18'
_symmetry_space_group_name_H-M 'R -3'
_symmetry_Int_Tables_number 148
_symmetry_space_group_name_Hall '-R 3'
_cell_length_a 14.2327
_cell_length_b 14.2327
_cell_length_c 9.7514
_cell_angle_alpha 90.00
_cell_angle_beta 90.00
_cell_angle_gamma 120.00
loop_
_atom_site_label
_atom_site_type_symbol
_atom_site_fract_x
_atom_site_fract_y
_atom_site_fract_z
Ho1 Ho 0.0540 0.2465 0.4167
Ho2 Ho 0.0548 0.2028 0.7727
Mg1 Mg 0.0000 0.0000 0.5000
In1 In 0.0628 0.2442 0.0877
```

Summary:
ΔH_f (0 K)	-94	meV/atom
total magnetization	0.00	μB/f.u.
N(E_F)	20.68	states/eV/f.u.
electronic total energy	-3.934	eV per atom
calculated volume	1710.68	Å³ per cell

=====

Entry 5:
Ho7Mg3In | PBE | relaxed

Geometry as CIF:
```
data_Ho7Mg3In
_chemical_formula_sum 'Ho14 Mg6 In2'
_symmetry_space_group_name_H-M 'C 1 2/m 1'
_symmetry_Int_Tables_number 12
_cell_length_a 11.543
_cell_length_b 11.328
_cell_length_c 5.744
_cell_angle_alpha 90.00
_cell_angle_beta 119.70
_cell_angle_gamma 90.00
loop_
_symmetry_equiv_pos_as_xyz
'x,y,z'
'-x,-y,-z'
'-x,y,-z'
'x,-y,z'
'x+1/2,y+1/2,z'
'-x+1/2,-y+1/2,-z'
'-x+1/2,y+1/2,-z'
'x+1/2,-y+1/2,z'
loop_
_atom_site_label
_atom_site_type_symbol
_atom_site_fract_x
_atom_site_fract_y
_atom_site_fract_z
Ho1 Ho 0.000 0.000 0.000
Ho2 Ho 0.171 0.270 0.671
Ho3 Ho 0.191 0.500 0.190
Mg1 Mg 0.000 0.278 0.000
Mg2 Mg 0.000 0.500 0.500
In1 In 0.000 0.000 0.500
```

Summary:
ΔH_f (0 K)	120	meV/atom
total magnetization	0.00	μB/f.u.
N(E_F)	14.02	states/eV/f.u.
electronic total energy	-3.477	eV per atom
calculated volume	652.40	Å³ per cell

=====

Entry 6:
Ho2MgIn2 | PBE | relaxed

Geometry as CIF:
```
data_Ho2MgIn2
_chemical_formula_sum 'Ho4 Mg2 In4'
_symmetry_space_group_name_H-M 'P 4/m b m'
_symmetry_Int_Tables_number 127
_symmetry_space_group_name_Hall '-P 4 2ab'
_cell_length_a 7.534
_cell_length_b 7.534
_cell_length_c 4.691
_cell_angle_alpha 90.00
_cell_angle_beta 90.00
_cell_angle_gamma 90.00
loop_
_atom_site_label
_atom_site_type_symbol
_atom_site_fract_x
_atom_site_fract_y
_atom_site_fract_z
Ho1 Ho 0.167 0.333 0.000
Mg1 Mg 0.000 0.000 0.500
In1 In 0.137 0.637 0.500
```

Summary:
ΔH_f (0 K)	-367	meV/atom
total magnetization	0.00	μB/f.u.
N(E_F)	3.73	states/eV/f.u.
offset from the most stable computed form	0.00	kcal/mol of atoms
electronic total energy	-3.612	eV per atom
calculated volume	266.26	Å³ per cell